Entry from Alexandria: SrLi4In2Pb after structural relaxation (PBE-GGA).

Total energy: -20.53 eV per formula unit
DOS at the Fermi energy: 0.47 states/eV/atom

a b c (Å): 4.881 4.881 9.642
angles (deg): 75.34 75.34 60.00
Positions (direct):
1 In 0.751 0.751 0.748
2 Li 0.599 0.599 0.203
3 Sr 0.000 0.000 0.000
4 Li 0.401 0.401 0.797
5 In 0.249 0.249 0.252
6 Li 0.131 0.131 0.608
7 Li 0.869 0.869 0.392
8 Pb 0.500 0.500 0.500

Entry from Alexandria: Tb2Ce3PuAs6 after structural relaxation (PBE-GGA).

Total energy: -86.06 eV per formula unit
DOS at the Fermi energy: 2.22 states/eV/atom

a b c (Å): 7.243 7.243 7.227
angles (deg): 99.62 99.62 119.99
Each line ends with the local moment (μB).
Positions (direct):
1 As 0.585 0.918 0.753  -0.04
2 Ce 0.167 0.833 0.500  0.60
3 Ce 0.500 0.500 0.500  0.60
4 Tb 0.333 0.667 0.000  0.02
5 As 0.918 0.585 0.753  -0.04
6 Tb 0.667 0.333 0.000  0.02
7 As 0.082 0.415 0.247  -0.04
8 Ce 0.833 0.167 0.500  0.60
9 Pu 0.000 0.000 0.000  5.12
10 As 0.415 0.082 0.247  -0.04
11 As 0.749 0.749 0.247  -0.04
12 As 0.251 0.251 0.753  -0.04

Entry from Alexandria: MnNbNi6 after structural relaxation (PBE-GGA).

Total energy: -52.50 eV per formula unit
Relative energy among the computed polymorphs: 371 meV per atom
DOS at the Fermi energy: 1.11 states/eV/atom

a b c (Å): 4.390 4.390 6.430
angles (deg): 75.30 75.30 65.56
Each line ends with the local moment (μB).
Positions (direct):
1 Ni 0.944 0.462 0.702  0.05
2 Nb 0.500 0.500 0.500  -0.17
3 Ni 0.640 0.640 0.062  0.14
4 Ni 0.056 0.538 0.298  0.05
5 Ni 0.462 0.944 0.702  0.05
6 Ni 0.360 0.360 0.938  0.14
7 Ni 0.538 0.056 0.298  0.05
8 Mn 0.000 0.000 0.000  3.21

Entry from Alexandria: ScHg after structural relaxation (PBE-GGA).

Total energy: -7.38 eV per formula unit
DOS at the Fermi energy: 0.90 states/eV/atom

a b c (Å): 3.487 5.810 4.658
angles (deg): 90.00 90.00 107.46
Positions (direct):
1 Hg 0.587 0.174 0.750
2 Sc 0.152 0.304 0.250
3 Hg 0.413 0.826 0.250
4 Sc 0.848 0.696 0.750

- Among the records above, which one has the lowest DOS at the Fermi energy?
  SrLi4In2Pb

- Which value of DOS at the Fermi energy does entry 3 give?
  1.11 states/eV/atom

- Number 4 is which compound?
  ScHg